Entry from the Alexandria database: CrAgO2F after structural relaxation (PBE+U).

Computed properties:
space group	P4/mmm, No. 123
raw total energy	-5.604	eV/atom

Structure (extended XYZ):
```
5
Lattice="3.8502 0.0000 0.0000 0.0000 3.8502 0.0000 0.0000 0.0000 3.9671" Properties=species:S:1:pos:R:3 pbc="T T T"
Cr 0.0000 0.0000 0.0000
Ag 1.9251 1.9251 1.9835
O 0.0000 1.9251 0.0000
O 1.9251 0.0000 0.0000
F 0.0000 0.0000 1.9835
```